[1]
A geometry-optimized Y2AlB2 structure, computed with PBE.

abc: 3.113 3.113 9.239
angles: 80.30 80.30 90.00
Element x y z (fractional)
B: 0.250 0.750 0.500
Y: 0.372 0.372 0.255
B: 0.750 0.250 0.500
Al: 0.000 0.000 0.000
Y: 0.628 0.628 0.745

Summary:
total magnetization	0.00	μB/cell
N(E_F)	4.0	states/eV per cell
E_form	0.374	eV/atom
total DFT energy (no corrections)	-5.631	eV per atom
offset from the most stable computed form	3.606	eV per formula unit

[2]
A geometry-optimized SrCa3Rh structure, computed with PBE.

abc: 28.564 10.515 10.515
angles: 156.55 159.79 20.21
Element x y z (fractional)
Ca: 0.008 0.642 0.358
Ca: 0.340 0.756 0.244
Sr: 0.764 0.288 0.712
Sr: 0.236 0.712 0.288
Rh: 0.390 0.092 0.908
Rh: 0.610 0.908 0.092
Ca: 0.992 0.358 0.642
Ca: 0.660 0.244 0.756
Ca: 0.597 0.692 0.308
Ca: 0.403 0.308 0.692

Summary:
total magnetization	0.00	μB/cell
N(E_F)	7.9	states/eV per cell
E_form	-0.161	eV/atom
total DFT energy (no corrections)	-3.169	eV per atom
offset from the most stable computed form	0.330	eV per formula unit

[3]
A geometry-optimized CeCd2Ge2Pt7 structure, computed with PBE.

abc: 4.005 4.005 15.008
angles: 80.14 80.14 89.89
Element x y z (fractional)
Pt: 0.598 0.099 0.848
Ge: 0.668 0.668 0.742
Pt: 0.099 0.598 0.848
Pt: 0.402 0.901 0.152
Cd: 0.310 0.310 0.595
Pt: 0.500 0.500 0.000
Cd: 0.690 0.690 0.405
Pt: 0.820 0.820 0.578
Pt: 0.901 0.402 0.152
Ce: 0.000 0.000 0.000
Ge: 0.332 0.332 0.258
Pt: 0.180 0.180 0.422

Summary:
total magnetization	0.16	μB/cell
N(E_F)	4.3	states/eV per cell
E_form	-0.527	eV/atom
total DFT energy (no corrections)	-5.467	eV per atom

[4]
A geometry-optimized CsSiS2 structure, computed with PBE.

abc: 9.339 9.339 9.339
angles: 21.95 21.95 21.95
Element x y z (fractional)
S: 0.120 0.120 0.120
S: 0.880 0.880 0.880
Si: 0.500 0.500 0.500
Cs: 0.000 0.000 0.000

Summary:
total magnetization	0.00	μB/cell
N(E_F)	2.0	states/eV per cell
total DFT energy (no corrections)	-3.932	eV per atom
E_form (uncorrected)	-29	kJ/mol of atoms